# CrIBr, optimized geometry, DFT PBE
# Density, Mg/m³: 4.51
data_CrIBr
_cell_length_a 7.8721
_cell_length_b 7.1611
_cell_length_c 6.9582
_cell_angle_alpha 90.00
_cell_angle_beta 103.44
_cell_angle_gamma 90.00
_symmetry_space_group_name_H-M 'P 1 21/c 1'
_symmetry_Int_Tables_number 14
loop_
_symmetry_equiv_pos_as_xyz
'x,y,z'
'-x,-y,-z'
'-x,y+1/2,-z+1/2'
'x,-y+1/2,z+1/2'
loop_
_atom_site_label
_atom_site_type_symbol
_atom_site_fract_x
_atom_site_fract_y
_atom_site_fract_z
_atom_site_occupancy
Cr1 Cr 0.0023 0.1274 0.0221 1
I1 I 0.2338 0.6997 0.2654 1
Br1 Br 0.2106 0.2056 0.3488 1

***

# Cr3IBr, optimized geometry, DFT PBE
# Density, Mg/m³: 6.62
# Energy above the most stable polymorph in this dataset, eV/f.u.: 0.00
data_Cr3IBr
_cell_length_a 4.4978
_cell_length_b 4.4978
_cell_length_c 4.4978
_cell_angle_alpha 90.00
_cell_angle_beta 90.00
_cell_angle_gamma 90.00
_symmetry_space_group_name_H-M 'P m -3 m'
_symmetry_Int_Tables_number 221
_symmetry_space_group_name_Hall '-P 4 2 3'
loop_
_atom_site_label
_atom_site_type_symbol
_atom_site_fract_x
_atom_site_fract_y
_atom_site_fract_z
_atom_site_occupancy
Cr1 Cr 0.0000 0.0000 0.5000 1
I1 I 0.5000 0.5000 0.5000 1
Br1 Br 0.0000 0.0000 0.0000 1

***

# CrI3Br, optimized geometry, DFT PBE
# Density, Mg/m³: 4.60
# Energy above the most stable polymorph in this dataset, eV/f.u.: 0.00
data_CrI3Br
_cell_length_a 6.9057
_cell_length_b 7.6539
_cell_length_c 7.0385
_cell_angle_alpha 90.00
_cell_angle_beta 95.53
_cell_angle_gamma 90.00
_symmetry_space_group_name_H-M 'P 1 21/m 1'
_symmetry_Int_Tables_number 11
loop_
_symmetry_equiv_pos_as_xyz
'x,y,z'
'-x,-y,-z'
'-x,y+1/2,-z'
'x,-y+1/2,z'
loop_
_atom_site_label
_atom_site_type_symbol
_atom_site_fract_x
_atom_site_fract_y
_atom_site_fract_z
_atom_site_occupancy
Cr1 Cr 0.0114 0.2500 0.0116 1
I1 I 0.1918 0.9998 0.8184 1
I2 I 0.2749 0.7500 0.2816 1
Br1 Br 0.2679 0.2500 0.2704 1

***

# Cr3IBr, optimized geometry, DFT PBE
# Density, Mg/m³: 5.51
# Energy above the most stable polymorph in this dataset, eV/f.u.: 2.31
data_Cr3IBr
_cell_length_a 4.7807
_cell_length_b 4.7807
_cell_length_c 4.7807
_cell_angle_alpha 90.00
_cell_angle_beta 90.00
_cell_angle_gamma 90.00
_symmetry_space_group_name_H-M 'P m -3 m'
_symmetry_Int_Tables_number 221
_symmetry_space_group_name_Hall '-P 4 2 3'
loop_
_atom_site_label
_atom_site_type_symbol
_atom_site_fract_x
_atom_site_fract_y
_atom_site_fract_z
_atom_site_occupancy
Cr1 Cr 0.0000 0.0000 0.5000 1
I1 I 0.0000 0.0000 0.0000 1
Br1 Br 0.5000 0.5000 0.5000 1

***

# CrIBr2, optimized geometry, DFT PBE
# Density, Mg/m³: 5.16
# Energy above the most stable polymorph in this dataset, eV/f.u.: 3.82
data_CrIBr2
_cell_length_a 7.5837
_cell_length_b 7.5837
_cell_length_c 7.5837
_cell_angle_alpha 90.00
_cell_angle_beta 90.00
_cell_angle_gamma 90.00
_symmetry_space_group_name_H-M 'F m -3 m'
_symmetry_Int_Tables_number 225
_symmetry_space_group_name_Hall '-F 4 2 3'
loop_
_atom_site_label
_atom_site_type_symbol
_atom_site_fract_x
_atom_site_fract_y
_atom_site_fract_z
_atom_site_occupancy
Cr1 Cr 0.0000 0.0000 0.0000 1
I1 I 0.0000 0.0000 0.5000 1
Br1 Br 0.2500 0.2500 0.2500 1

***

# CrIBr2, optimized geometry, DFT PBE
# Density, Mg/m³: 3.85
# Energy above the most stable polymorph in this dataset, eV/f.u.: 1.62
data_CrIBr2
_cell_length_a 7.6897
_cell_length_b 7.6897
_cell_length_c 9.8767
_cell_angle_alpha 90.00
_cell_angle_beta 90.00
_cell_angle_gamma 90.00
_symmetry_space_group_name_H-M 'I -4 2 d'
_symmetry_Int_Tables_number 122
_symmetry_space_group_name_Hall 'I -4 2bw'
loop_
_atom_site_label
_atom_site_type_symbol
_atom_site_fract_x
_atom_site_fract_y
_atom_site_fract_z
_atom_site_occupancy
Cr1 Cr 0.0000 0.0000 0.0000 1
I1 I 0.0000 0.0000 0.5000 1
Br1 Br 0.1199 0.2500 0.1250 1

***

# CrIBr2, optimized geometry, DFT PBE
# Density, Mg/m³: 3.39
# Energy above the most stable polymorph in this dataset, eV/f.u.: 0.63
data_CrIBr2
_cell_length_a 7.1693
_cell_length_b 7.4314
_cell_length_c 7.4430
_cell_angle_alpha 118.75
_cell_angle_beta 98.58
_cell_angle_gamma 98.93
_symmetry_space_group_name_H-M 'P 1'
_symmetry_Int_Tables_number 1
loop_
_symmetry_equiv_pos_as_xyz
'x,y,z'
loop_
_atom_site_label
_atom_site_type_symbol
_atom_site_fract_x
_atom_site_fract_y
_atom_site_fract_z
_atom_site_occupancy
Cr1 Cr 0.0000 0.0000 0.0000 1
Cr2 Cr 0.0877 0.2698 0.2693 1
I1 I 0.2875 0.2068 0.5248 1
I2 I 0.7995 0.7434 0.0633 1
Br1 Br 0.2700 0.5012 0.2042 1
Br2 Br 0.2747 0.9082 0.9070 1
Br3 Br 0.8131 0.3623 0.3619 1
Br4 Br 0.8182 0.0652 0.7700 1

***

# CrIBr2, optimized geometry, DFT PBE
# Density, Mg/m³: 4.17
# Energy above the most stable polymorph in this dataset, eV/f.u.: 0.94
data_CrIBr2
_cell_length_a 6.9605
_cell_length_b 10.6132
_cell_length_c 8.0148
_cell_angle_alpha 90.00
_cell_angle_beta 114.35
_cell_angle_gamma 90.00
_symmetry_space_group_name_H-M 'C 1 m 1'
_symmetry_Int_Tables_number 8
loop_
_symmetry_equiv_pos_as_xyz
'x,y,z'
'x,-y,z'
'x+1/2,y+1/2,z'
'x+1/2,-y+1/2,z'
loop_
_atom_site_label
_atom_site_type_symbol
_atom_site_fract_x
_atom_site_fract_y
_atom_site_fract_z
_atom_site_occupancy
Cr1 Cr 0.0000 0.0931 0.0000 1
I1 I 0.3042 0.3142 0.6817 1
Br1 Br 0.2233 0.0000 0.3079 1
Br2 Br 0.2651 0.3250 0.1205 1
Br3 Br 0.2730 0.0000 0.9161 1

***

# CrIBr2, optimized geometry, DFT PBE
# Density, Mg/m³: 3.36
# Energy above the most stable polymorph in this dataset, eV/f.u.: 0.63
data_CrIBr2
_cell_length_a 7.5647
_cell_length_b 12.8731
_cell_length_c 6.8846
_cell_angle_alpha 90.00
_cell_angle_beta 90.86
_cell_angle_gamma 90.00
_symmetry_space_group_name_H-M 'C 1 2 1'
_symmetry_Int_Tables_number 5
loop_
_symmetry_equiv_pos_as_xyz
'x,y,z'
'-x,y,-z'
'x+1/2,y+1/2,z'
'-x+1/2,y+1/2,-z'
loop_
_atom_site_label
_atom_site_type_symbol
_atom_site_fract_x
_atom_site_fract_y
_atom_site_fract_z
_atom_site_occupancy
Cr1 Cr 0.1240 0.0000 0.0405 1
I1 I 0.1706 0.1585 0.2385 1
Br1 Br 0.1607 0.8535 0.2222 1
Br2 Br 0.2141 0.4993 0.2362 1

***

# CrI3Br, optimized geometry, DFT PBE
# Density, Mg/m³: 5.13
# Energy above the most stable polymorph in this dataset, eV/f.u.: 1.83
data_CrI3Br
_cell_length_a 5.4967
_cell_length_b 5.4967
_cell_length_c 5.4967
_cell_angle_alpha 90.00
_cell_angle_beta 90.00
_cell_angle_gamma 90.00
_symmetry_space_group_name_H-M 'P m -3 m'
_symmetry_Int_Tables_number 221
_symmetry_space_group_name_Hall '-P 4 2 3'
loop_
_atom_site_label
_atom_site_type_symbol
_atom_site_fract_x
_atom_site_fract_y
_atom_site_fract_z
_atom_site_occupancy
Cr1 Cr 0.0000 0.0000 0.0000 1
I1 I 0.0000 0.0000 0.5000 1
Br1 Br 0.5000 0.5000 0.5000 1

***

# CrIBr2, optimized geometry, DFT PBE
# Density, Mg/m³: 4.29
# Energy above the most stable polymorph in this dataset, eV/f.u.: 0.00
data_CrIBr2
_cell_length_a 3.8025
_cell_length_b 5.0840
_cell_length_c 13.5557
_cell_angle_alpha 90.00
_cell_angle_beta 90.00
_cell_angle_gamma 90.00
_symmetry_space_group_name_H-M 'I m m 2'
_symmetry_Int_Tables_number 44
loop_
_symmetry_equiv_pos_as_xyz
'x,y,z'
'-x,-y,z'
'-x,y,z'
'x,-y,z'
'x+1/2,y+1/2,z+1/2'
'-x+1/2,-y+1/2,z+1/2'
'-x+1/2,y+1/2,z+1/2'
'x+1/2,-y+1/2,z+1/2'
loop_
_atom_site_label
_atom_site_type_symbol
_atom_site_fract_x
_atom_site_fract_y
_atom_site_fract_z
_atom_site_occupancy
Cr1 Cr 0.0000 0.0000 0.0000 1
I1 I 0.0000 0.5000 0.3582 1
Br1 Br 0.0000 0.5000 0.0228 1
Br2 Br 0.0000 0.5000 0.6262 1

***

# CrIBr2, optimized geometry, DFT PBE
# Density, Mg/m³: 3.74
# Energy above the most stable polymorph in this dataset, eV/f.u.: 0.12
data_CrIBr2
_cell_length_a 3.7479
_cell_length_b 6.7702
_cell_length_c 6.8724
_cell_angle_alpha 115.96
_cell_angle_beta 104.31
_cell_angle_gamma 90.80
_symmetry_space_group_name_H-M 'P 1'
_symmetry_Int_Tables_number 1
loop_
_symmetry_equiv_pos_as_xyz
'x,y,z'
loop_
_atom_site_label
_atom_site_type_symbol
_atom_site_fract_x
_atom_site_fract_y
_atom_site_fract_z
_atom_site_occupancy
Cr1 Cr 0.0000 0.0000 0.0000 1
I1 I 0.4357 0.6816 0.8759 1
Br1 Br 0.6023 0.2639 0.2110 1
Br2 Br 0.8535 0.0536 0.6759 1

***

# CrInIBr2, optimized geometry, DFT PBE
# Density, Mg/m³: 4.82
# Energy above the most stable polymorph in this dataset, eV/f.u.: 0.00
data_CrInIBr2
_cell_length_a 5.2225
_cell_length_b 5.2225
_cell_length_c 5.7338
_cell_angle_alpha 90.00
_cell_angle_beta 90.00
_cell_angle_gamma 90.00
_symmetry_space_group_name_H-M 'P 4/m m m'
_symmetry_Int_Tables_number 123
_symmetry_space_group_name_Hall '-P 4 2'
loop_
_atom_site_label
_atom_site_type_symbol
_atom_site_fract_x
_atom_site_fract_y
_atom_site_fract_z
_atom_site_occupancy
Cr1 Cr 0.0000 0.0000 0.0000 1
In1 In 0.5000 0.5000 0.5000 1
I1 I 0.0000 0.0000 0.5000 1
Br1 Br 0.0000 0.5000 0.0000 1

***

# CrInIBr2, optimized geometry, DFT PBE
# Density, Mg/m³: 5.82
# Energy above the most stable polymorph in this dataset, eV/f.u.: 2.55
data_CrInIBr2
_cell_length_a 4.7762
_cell_length_b 4.7762
_cell_length_c 5.6753
_cell_angle_alpha 90.00
_cell_angle_beta 90.00
_cell_angle_gamma 90.00
_symmetry_space_group_name_H-M 'P 4/m m m'
_symmetry_Int_Tables_number 123
_symmetry_space_group_name_Hall '-P 4 2'
loop_
_atom_site_label
_atom_site_type_symbol
_atom_site_fract_x
_atom_site_fract_y
_atom_site_fract_z
_atom_site_occupancy
Cr1 Cr 0.0000 0.0000 0.0000 1
In1 In 0.0000 0.0000 0.5000 1
I1 I 0.5000 0.5000 0.5000 1
Br1 Br 0.0000 0.5000 0.0000 1

***

# KCrI2Br, optimized geometry, DFT PBE
# Density, Mg/m³: 2.93
# Energy above the most stable polymorph in this dataset, eV/f.u.: 5.33
data_KCrI2Br
_cell_length_a 6.4516
_cell_length_b 6.4516
_cell_length_c 5.7884
_cell_angle_alpha 90.00
_cell_angle_beta 90.00
_cell_angle_gamma 90.00
_symmetry_space_group_name_H-M 'P 4/m m m'
_symmetry_Int_Tables_number 123
_symmetry_space_group_name_Hall '-P 4 2'
loop_
_atom_site_label
_atom_site_type_symbol
_atom_site_fract_x
_atom_site_fract_y
_atom_site_fract_z
_atom_site_occupancy
K1 K 0.0000 0.0000 0.0000 1
Cr1 Cr 0.5000 0.5000 0.0000 1
I1 I 0.0000 0.5000 0.5000 1
Br1 Br 0.0000 0.0000 0.5000 1

***

# KCrI2Br, optimized geometry, DFT PBE
# Density, Mg/m³: 4.09
# Energy above the most stable polymorph in this dataset, eV/f.u.: 0.00
data_KCrI2Br
_cell_length_a 5.7517
_cell_length_b 5.7517
_cell_length_c 5.2154
_cell_angle_alpha 90.00
_cell_angle_beta 90.00
_cell_angle_gamma 90.00
_symmetry_space_group_name_H-M 'P 4/m m m'
_symmetry_Int_Tables_number 123
_symmetry_space_group_name_Hall '-P 4 2'
loop_
_atom_site_label
_atom_site_type_symbol
_atom_site_fract_x
_atom_site_fract_y
_atom_site_fract_z
_atom_site_occupancy
K1 K 0.0000 0.0000 0.0000 1
Cr1 Cr 0.5000 0.5000 0.5000 1
I1 I 0.0000 0.5000 0.5000 1
Br1 Br 0.5000 0.5000 0.0000 1

***

# CrIBrN2, optimized geometry, DFT PBE
# Density, Mg/m³: 4.40
# Energy above the most stable polymorph in this dataset, eV/f.u.: 7.93
data_CrIBrN2
_cell_length_a 3.8894
_cell_length_b 3.8894
_cell_length_c 7.1614
_cell_angle_alpha 90.00
_cell_angle_beta 90.00
_cell_angle_gamma 90.00
_symmetry_space_group_name_H-M 'P 4/m m m'
_symmetry_Int_Tables_number 123
_symmetry_space_group_name_Hall '-P 4 2'
loop_
_atom_site_label
_atom_site_type_symbol
_atom_site_fract_x
_atom_site_fract_y
_atom_site_fract_z
_atom_site_occupancy
Cr1 Cr 0.0000 0.0000 0.0000 1
I1 I 0.5000 0.5000 0.0000 1
Br1 Br 0.5000 0.5000 0.5000 1
N1 N 0.0000 0.5000 0.5000 1

***

# CrIBr2N, optimized geometry, DFT PBE
# Density, Mg/m³: 4.61
data_CrIBr2N
_cell_length_a 5.9674
_cell_length_b 5.9674
_cell_length_c 3.5704
_cell_angle_alpha 90.00
_cell_angle_beta 90.00
_cell_angle_gamma 90.00
_symmetry_space_group_name_H-M 'P 4/m m m'
_symmetry_Int_Tables_number 123
_symmetry_space_group_name_Hall '-P 4 2'
loop_
_atom_site_label
_atom_site_type_symbol
_atom_site_fract_x
_atom_site_fract_y
_atom_site_fract_z
_atom_site_occupancy
Cr1 Cr 0.0000 0.0000 0.0000 1
I1 I 0.5000 0.5000 0.0000 1
Br1 Br 0.0000 0.5000 0.5000 1
N1 N 0.0000 0.0000 0.5000 1

***

# CrIBrN2, optimized geometry, DFT PBE
# Density, Mg/m³: 5.52
# Energy above the most stable polymorph in this dataset, eV/f.u.: 0.00
data_CrIBrN2
_cell_length_a 3.8658
_cell_length_b 3.8658
_cell_length_c 5.7734
_cell_angle_alpha 90.00
_cell_angle_beta 90.00
_cell_angle_gamma 90.00
_symmetry_space_group_name_H-M 'P 4/m m m'
_symmetry_Int_Tables_number 123
_symmetry_space_group_name_Hall '-P 4 2'
loop_
_atom_site_label
_atom_site_type_symbol
_atom_site_fract_x
_atom_site_fract_y
_atom_site_fract_z
_atom_site_occupancy
Cr1 Cr 0.0000 0.0000 0.0000 1
I1 I 0.0000 0.0000 0.5000 1
Br1 Br 0.5000 0.5000 0.5000 1
N1 N 0.0000 0.5000 0.0000 1

***

# CrI2BrN, optimized geometry, DFT PBE
# Density, Mg/m³: 4.43
# Energy above the most stable polymorph in this dataset, eV/f.u.: 4.96
data_CrI2BrN
_cell_length_a 6.3396
_cell_length_b 6.3396
_cell_length_c 3.7316
_cell_angle_alpha 90.00
_cell_angle_beta 90.00
_cell_angle_gamma 90.00
_symmetry_space_group_name_H-M 'P 4/m m m'
_symmetry_Int_Tables_number 123
_symmetry_space_group_name_Hall '-P 4 2'
loop_
_atom_site_label
_atom_site_type_symbol
_atom_site_fract_x
_atom_site_fract_y
_atom_site_fract_z
_atom_site_occupancy
Cr1 Cr 0.0000 0.0000 0.0000 1
I1 I 0.0000 0.5000 0.5000 1
Br1 Br 0.5000 0.5000 0.5000 1
N1 N 0.5000 0.5000 0.0000 1

***

# CrI2BrN, optimized geometry, DFT PBE
# Density, Mg/m³: 5.91
# Energy above the most stable polymorph in this dataset, eV/f.u.: 0.00
data_CrI2BrN
_cell_length_a 5.6017
_cell_length_b 5.6017
_cell_length_c 3.5814
_cell_angle_alpha 90.00
_cell_angle_beta 90.00
_cell_angle_gamma 90.00
_symmetry_space_group_name_H-M 'P 4/m m m'
_symmetry_Int_Tables_number 123
_symmetry_space_group_name_Hall '-P 4 2'
loop_
_atom_site_label
_atom_site_type_symbol
_atom_site_fract_x
_atom_site_fract_y
_atom_site_fract_z
_atom_site_occupancy
Cr1 Cr 0.0000 0.0000 0.0000 1
I1 I 0.0000 0.5000 0.0000 1
Br1 Br 0.5000 0.5000 0.5000 1
N1 N 0.0000 0.0000 0.5000 1

***

# NaCrIBr2, optimized geometry, DFT PBE
# Density, Mg/m³: 3.86
data_NaCrIBr2
_cell_length_a 5.1879
_cell_length_b 5.1879
_cell_length_c 5.7809
_cell_angle_alpha 90.00
_cell_angle_beta 90.00
_cell_angle_gamma 90.00
_symmetry_space_group_name_H-M 'P 4/m m m'
_symmetry_Int_Tables_number 123
_symmetry_space_group_name_Hall '-P 4 2'
loop_
_atom_site_label
_atom_site_type_symbol
_atom_site_fract_x
_atom_site_fract_y
_atom_site_fract_z
_atom_site_occupancy
Na1 Na 0.0000 0.0000 0.0000 1
Cr1 Cr 0.5000 0.5000 0.5000 1
I1 I 0.5000 0.5000 0.0000 1
Br1 Br 0.0000 0.5000 0.5000 1

***

| no. | energy (eV/cell) | raw formation energy (eV/atom) |
| --- | --- | --- |
| 1 | -54.57 | -0.27 |
| 2 | -23.66 | 1.69 |
| 3 | -34.72 | -0.28 |
| 4 | -21.35 | 2.15 |
| 5 | -51.19 | 0.43 |
| 6 | -60.00 | -0.12 |
| 7 | -31.97 | -0.37 |
| 8 | -62.70 | -0.29 |
| 9 | -63.95 | -0.37 |
| 10 | -15.53 | 0.08 |
| 11 | -33.23 | -0.52 |
| 12 | -16.49 | -0.49 |
| 13 | -19.74 | -0.50 |
| 14 | -17.20 | 0.01 |
| 15 | -14.29 | 0.24 |
| 16 | -19.62 | -0.83 |
| 17 | -16.82 | 2.53 |
| 18 | -19.89 | 0.59 |
| 19 | -24.76 | 0.95 |
| 20 | -15.89 | 1.37 |
| 21 | -20.85 | 0.37 |
| 22 | -19.68 | -0.77 |